A relaxed HfNbOs3 crystal. Source: Alexandria, functional PBE.

SG ... Pm-3m
E_tot ... -9.15 eV/atom

Cell: 4.6971 4.6971 4.6971 Å, 90.00 90.00 90.00°
Element x y z (fractional)
Hf  0.0000  0.0000  0.0000
Nb  0.5000  0.5000  0.5000
Os  0.0000  0.5000  0.5000
Os  0.5000  0.0000  0.5000
Os  0.5000  0.5000  0.0000